Computed, not measured: a relaxed structure of LaIn2TcF at the PBE level of DFT.

Summary:
Total moment = 0.002 μB per atom
Formation energy (no corrections) = -0.34 eV per atom

```
data_LaIn2TcF
_chemical_formula_sum 'La1 In2 Tc1 F1'
_symmetry_space_group_name_H-M 'P 4/m m m'
_symmetry_Int_Tables_number 123
_symmetry_space_group_name_Hall '-P 4 2'
_cell_length_a 5.4445
_cell_length_b 5.4445
_cell_length_c 4.0434
_cell_angle_alpha 90.00
_cell_angle_beta 90.00
_cell_angle_gamma 90.00
loop_
_atom_site_label
_atom_site_type_symbol
_atom_site_fract_x
_atom_site_fract_y
_atom_site_fract_z
La1 La 0.0000 0.0000 0.0000
In1 In 0.0000 0.5000 0.5000
Tc1 Tc 0.5000 0.5000 0.5000
F1 F 0.5000 0.5000 0.0000
```